1.
VASP calculation (PBE) on a geometry-optimized ReTc2Au structure.

## Properties
**SG**: No. 160
**Calculated formation energy**: 0.21 eV/atom
**ΔE to the lowest computed polymorph**: 35.1 meV/atom

Lattice parameters (Å, degrees): 9.422 9.422 9.422 16.94 16.94 16.94
Sites, in units of the cell vectors:
Re 0.000 0.000 0.000
Tc 0.490 0.490 0.490
Tc 0.746 0.746 0.746
Au 0.245 0.245 0.245

2.
VASP calculation (PBE) on a geometry-optimized Re2TcAu structure.

## Properties
**SG**: No. 99
**Calculated formation energy**: 0.46 eV/atom
**ΔE to the lowest computed polymorph**: 261.2 meV/atom

Lattice parameters (Å, degrees): 3.259 3.259 5.986 90.00 90.00 90.00
Sites, in units of the cell vectors:
Re 0.000 0.000 0.000
Re 0.500 0.500 0.206
Tc 0.000 0.000 0.449
Au 0.500 0.500 0.722

3.
VASP calculation (PBE) on a geometry-optimized ReTc2Au structure.

## Properties
**SG**: No. 99
**Calculated formation energy**: 0.25 eV/atom
**ΔE to the lowest computed polymorph**: 80.7 meV/atom

Lattice parameters (Å, degrees): 2.772 2.772 8.047 90.00 90.00 90.00
Sites, in units of the cell vectors:
Re 0.000 0.000 0.000
Tc 0.000 0.000 0.462
Tc 0.500 0.500 0.231
Au 0.500 0.500 0.731

4.
VASP calculation (PBE) on a geometry-optimized ReTc2Au structure.

## Properties
**SG**: No. 122
**Calculated formation energy**: 0.77 eV/atom
**ΔE to the lowest computed polymorph**: 598.5 meV/atom

Lattice parameters (Å, degrees): 5.758 5.758 5.758 102.72 102.72 124.03
Sites, in units of the cell vectors:
Re 0.000 0.000 0.000
Re 0.750 0.250 0.500
Tc 0.081 0.625 0.956
Tc 0.375 0.331 0.456
Tc 0.669 0.125 0.044
Tc 0.875 0.919 0.544
Au 0.250 0.750 0.500
Au 0.500 0.500 0.000

5.
VASP calculation (PBE) on a geometry-optimized Re2TeAu structure.

## Properties
**Energy relative to the elements, uncorrected**: 911 meV per atom
**SG**: No. 119

Lattice parameters (Å, degrees): 4.977 4.977 4.977 130.71 130.71 72.27
Sites, in units of the cell vectors:
Re 0.000 0.000 0.000
Re 0.750 0.250 0.500
Te 0.250 0.750 0.500
Au 0.500 0.500 0.000

6.
VASP calculation (PBE) on a geometry-optimized ReTeAu3 structure.

## Properties
**Energy relative to the elements, uncorrected**: 1606 meV per atom
**SG**: No. 221
**ΔE to the lowest computed polymorph**: 347.9 meV/atom

Lattice parameters (Å, degrees): 5.249 5.249 5.249 90.00 90.00 90.00
Sites, in units of the cell vectors:
Re 0.000 0.000 0.000
Te 0.500 0.500 0.500
Au 0.000 0.500 0.500
Au 0.500 0.000 0.500
Au 0.500 0.500 0.000